1.
Computed, not measured: crystalline NiBiPt at its relaxed geometry at the PBE level of DFT.

Computed properties:
**Total magnetization**: 0.02 μB per atom
**E_tot**: -5.218 eV per atom
**Volume**: 57.2 Å³/cell

Cell: 4.324 4.324 4.324 Å, 60.00 60.00 60.00°
Fractional coordinates of all 3 atoms:
Ni: 0.000 0.000 0.000
Bi: 0.750 0.750 0.750
Pt: 0.250 0.250 0.250


2.
Computed, not measured: crystalline Pr3Ga at its relaxed geometry at the PBE level of DFT.

Computed properties:
**Total magnetization**: 0.00 μB per atom
**E_tot**: -4.576 eV per atom
**Volume**: 117.7 Å³/cell

Cell: 4.895 4.895 4.910 Å, 90.00 90.00 90.00°
Fractional coordinates of all 4 atoms:
Pr: 0.000 0.000 0.000
Pr: 0.000 0.500 0.500
Pr: 0.500 0.000 0.500
Ga: 0.500 0.500 0.000


3.
Computed, not measured: crystalline BaCdTeO at its relaxed geometry at the PBE level of DFT.

Computed properties:
**E_tot**: -4.152 eV per atom
**Volume**: 443.5 Å³/cell

Cell: 7.446 7.644 7.792 Å, 90.00 90.00 90.00°
Fractional coordinates of all 16 atoms:
Ba: 0.119 0.106 0.394
Ba: 0.381 0.894 0.894
Ba: 0.619 0.394 0.606
Ba: 0.881 0.606 0.106
Cd: 0.194 0.324 0.812
Cd: 0.306 0.676 0.312
Cd: 0.694 0.176 0.188
Cd: 0.806 0.824 0.688
Te: 0.127 0.633 0.628
Te: 0.373 0.367 0.128
Te: 0.627 0.867 0.372
Te: 0.873 0.133 0.872
O: 0.146 0.841 0.153
O: 0.354 0.159 0.653
O: 0.646 0.659 0.847
O: 0.854 0.341 0.347


4.
Computed, not measured: crystalline Ho4CIBr2Cl2 at its relaxed geometry at the PBE level of DFT.

Computed properties:
**Total magnetization**: 0.03 μB per atom
**E_tot**: -5.072 eV per atom
**Volume**: 267.3 Å³/cell

Cell: 8.742 8.742 8.455 Å, 103.44 103.44 25.21°
Fractional coordinates of all 10 atoms:
Ho: 0.001 0.001 0.310
Ho: 0.357 0.357 0.429
Ho: 0.643 0.643 0.571
Ho: 0.999 0.999 0.690
C: 0.500 0.500 0.500
I: 0.500 0.500 0.000
Br: 0.171 0.171 0.826
Br: 0.829 0.829 0.174
Cl: 0.171 0.171 0.357
Cl: 0.829 0.829 0.643


5.
Computed, not measured: crystalline K6TmSi2O8 at its relaxed geometry at the PBE level of DFT.

Computed properties:
**Total magnetization**: 0.06 μB per atom
**E_tot**: -5.814 eV per atom
**Volume**: 306.7 Å³/cell

Cell: 6.203 6.954 7.681 Å, 80.97 86.18 69.60°
Fractional coordinates of all 17 atoms:
K: 0.144 0.330 0.164
K: 0.216 0.671 0.424
K: 0.297 0.808 0.971
K: 0.703 0.192 0.029
K: 0.784 0.329 0.576
K: 0.856 0.670 0.836
Tm: 0.500 0.000 0.500
Si: 0.280 0.273 0.745
Si: 0.720 0.727 0.255
O: 0.060 0.239 0.857
O: 0.236 0.294 0.526
O: 0.335 0.472 0.794
O: 0.483 0.944 0.231
O: 0.517 0.056 0.769
O: 0.665 0.528 0.206
O: 0.764 0.706 0.474
O: 0.940 0.761 0.143


6.
Computed, not measured: crystalline PuReSi at its relaxed geometry at the PBE level of DFT.

Computed properties:
**Total magnetization**: 1.68 μB per atom
**E_tot**: -10.416 eV per atom
**Volume**: 58.7 Å³/cell

Cell: 4.364 4.364 4.364 Å, 60.00 60.00 60.00°
Fractional coordinates of all 3 atoms:
Pu: 0.000 0.000 0.000
Re: 0.500 0.500 0.500
Si: 0.250 0.250 0.250


7.
Computed, not measured: crystalline Zn2B at its relaxed geometry at the PBE level of DFT.

Computed properties:
**E_tot**: -1.872 eV per atom
**Volume**: 84.2 Å³/cell

Cell: 4.919 4.919 4.919 Å, 60.00 60.00 60.00°
Fractional coordinates of all 6 atoms:
Zn: 0.000 0.000 0.000
Zn: 0.000 0.000 0.500
Zn: 0.000 0.500 0.000
Zn: 0.500 0.000 0.000
B: 0.375 0.375 0.375
B: 0.625 0.625 0.625


8.
Computed, not measured: crystalline Sm2DyMg3CdIn2 at its relaxed geometry at the PBE level of DFT.

Computed properties:
**Total magnetization**: 0.00 μB per atom
**E_tot**: -3.163 eV per atom
**Volume**: 234.3 Å³/cell

Cell: 4.687 7.573 7.573 Å, 119.35 90.00 90.00°
Fractional coordinates of all 9 atoms:
Sm: 0.000 0.212 0.788
Sm: 0.000 0.788 0.212
Dy: 0.000 0.363 0.363
Mg: 0.500 0.025 0.025
Mg: 0.500 0.546 0.787
Mg: 0.500 0.787 0.546
Cd: 0.000 0.781 0.781
In: 0.500 0.124 0.453
In: 0.500 0.453 0.124


9.
Computed, not measured: crystalline MgAgTeO at its relaxed geometry at the PBE level of DFT.

Computed properties:
**E_tot**: -3.696 eV per atom
**Volume**: 311.8 Å³/cell

Cell: 6.327 8.270 5.959 Å, 90.00 90.00 90.00°
Fractional coordinates of all 16 atoms:
Mg: 0.081 0.198 0.000
Mg: 0.419 0.198 0.500
Mg: 0.581 0.802 0.000
Mg: 0.919 0.802 0.500
Ag: 0.250 0.581 0.252
Ag: 0.250 0.581 0.752
Ag: 0.750 0.419 0.252
Ag: 0.750 0.419 0.752
Te: 0.027 0.847 0.001
Te: 0.473 0.847 0.501
Te: 0.527 0.153 0.001
Te: 0.973 0.153 0.501
O: 0.013 0.425 0.002
O: 0.487 0.425 0.502
O: 0.513 0.575 0.002
O: 0.987 0.575 0.502


10.
Computed, not measured: crystalline LiGeTe4Au3 at its relaxed geometry at the PBE level of DFT.

Computed properties:
**E_tot**: -3.329 eV per atom
**Volume**: 509.0 Å³/cell

Cell: 6.517 8.882 8.923 Å, 90.00 99.78 90.00°
Fractional coordinates of all 18 atoms:
Li: 0.240 0.250 0.126
Li: 0.760 0.750 0.874
Ge: 0.256 0.750 0.255
Ge: 0.744 0.250 0.745
Te: 0.012 0.005 0.782
Te: 0.012 0.495 0.782
Te: 0.352 0.750 0.969
Te: 0.484 0.250 0.444
Te: 0.516 0.750 0.556
Te: 0.648 0.250 0.031
Te: 0.988 0.505 0.218
Te: 0.988 0.995 0.218
Au: 0.194 0.075 0.537
Au: 0.194 0.425 0.537
Au: 0.290 0.250 0.829
Au: 0.710 0.750 0.171
Au: 0.806 0.575 0.463
Au: 0.806 0.925 0.463


11.
Computed, not measured: crystalline Gd2TlFeCu at its relaxed geometry at the PBE level of DFT.

Computed properties:
**Total magnetization**: 0.26 μB per atom
**E_tot**: -4.908 eV per atom
**Volume**: 109.7 Å³/cell

Cell: 3.747 7.469 7.469 Å, 31.66 90.00 90.00°
Fractional coordinates of all 5 atoms:
Gd: 0.000 0.000 0.000
Gd: 0.000 0.273 0.273
Tl: 0.500 0.633 0.633
Fe: 0.500 0.431 0.431
Cu: 0.500 0.838 0.838


12.
Computed, not measured: crystalline Cu5Sn4 at its relaxed geometry at the PBE level of DFT.

Computed properties:
**E_tot**: -3.861 eV per atom
**Volume**: 485.3 Å³/cell

Cell: 7.386 7.386 10.273 Å, 90.36 90.36 60.00°
Fractional coordinates of all 27 atoms:
Cu: 0.000 0.000 0.000
Cu: 0.007 0.325 0.126
Cu: 0.007 0.651 0.251
Cu: 0.008 0.340 0.377
Cu: 0.024 0.298 0.874
Cu: 0.026 0.311 0.623
Cu: 0.310 0.675 0.126
Cu: 0.325 0.658 0.377
Cu: 0.325 0.690 0.874
Cu: 0.342 0.675 0.623
Cu: 0.349 0.993 0.749
Cu: 0.660 0.992 0.623
Cu: 0.675 0.993 0.874
Cu: 0.689 0.974 0.377
Cu: 0.702 0.976 0.126
Sn: 0.000 0.018 0.269
Sn: 0.007 0.634 0.981
Sn: 0.008 0.654 0.520
Sn: 0.346 0.992 0.480
Sn: 0.350 0.350 0.751
Sn: 0.366 0.993 0.019
Sn: 0.372 0.301 0.249
Sn: 0.643 0.357 0.000
Sn: 0.650 0.650 0.249
Sn: 0.670 0.330 0.500
Sn: 0.699 0.628 0.751
Sn: 0.982 0.000 0.731


13.
Computed, not measured: crystalline DyTm2Tl3AgIr2 at its relaxed geometry at the PBE level of DFT.

Computed properties:
**Total magnetization**: 0.00 μB per atom
**E_tot**: -5.003 eV per atom
**Volume**: 199.1 Å³/cell

Cell: 3.745 7.845 7.845 Å, 120.24 90.00 90.00°
Fractional coordinates of all 9 atoms:
Dy: 0.000 0.000 0.000
Tm: 0.000 0.410 0.821
Tm: 0.000 0.821 0.410
Tl: 0.500 0.137 0.410
Tl: 0.500 0.410 0.137
Tl: 0.500 0.682 0.682
Ag: 0.000 0.410 0.410
Ir: 0.500 0.077 0.741
Ir: 0.500 0.741 0.077